No. 1
Below is a relaxed Cr2AuI2 crystal, with properties calculated at the PBE-GGA level.

Properties
density of states at the Fermi level: 3.22 states/eV/cell

```
Cr2AuI2
1.0
-4.4340 -2.2405 -2.2372
-0.7190 -3.0366 4.4662
-4.7162 0.0885 2.6242
I Cr Au
2 2 1
direct
0.7500 0.2500 0.5000
0.2500 0.7500 0.5000
0.3828 0.3828 0.2343
0.6172 0.6172 0.7657
0.0000 0.0000 0.0000
```


No. 2
Below is a relaxed CrAuI3 crystal, with properties calculated at the PBE-GGA level.

Properties
density of states at the Fermi level: 3.00 states/eV/cell

```
CrAuI3
1.0
5.4982 0.0000 0.0000
0.0000 5.4982 0.0000
0.0000 0.0000 5.4982
I Cr Au
3 1 1
direct
0.0000 0.5000 0.0000
0.0000 0.0000 0.5000
0.5000 0.0000 0.0000
0.0000 0.0000 0.0000
0.5000 0.5000 0.5000
```


Calculated energy above the most stable polymorph in this dataset, 0.000; 0.000 eV per atom (same order as the records).
Calculated formation energy without anion corrections, 0.668; 0.323 eV/atom (same order as the records).